No. 1
Compound: O
Source: Alexandria
Functional: SCAN
Structure: PBEsol geometry

Values from the calculation:
- Total magnetic moment: 0.0 μB per cell
- Raw formation energy: 0.51 eV/atom

Cell: 3.864 3.864 3.073 Å, 90.00 90.00 120.00°
Positions (direct):
1 O 0.000 0.149 0.167
2 O 0.149 0.000 0.833
3 O 0.851 0.851 0.500

***

No. 2
Compound: POs2O
Source: Alexandria
Functional: SCAN
Structure: PBEsol geometry

Values from the calculation:
- Total magnetic moment: 0.0 μB per cell
- Raw formation energy: 0.33 eV/atom

Cell: 4.009 4.009 4.009 Å, 60.00 60.00 60.00°
Positions (direct):
1 P 0.000 0.000 0.000
2 Os 0.250 0.250 0.250
3 Os 0.750 0.750 0.750
4 O 0.500 0.500 0.500

***

- What is the formula in the second record?
  POs2O